## one
The following is a DFT calculation (PBE) of a geometry-optimized SrDyNO structure.

```
data_SrDyNO
_cell_length_a 6.8210
_cell_length_b 8.1618
_cell_length_c 5.6754
_cell_angle_alpha 90.00
_cell_angle_beta 90.00
_cell_angle_gamma 90.00
_symmetry_space_group_name_H-M 'P 1'
_symmetry_Int_Tables_number 1
loop_
_symmetry_equiv_pos_as_xyz
'x,y,z'
loop_
_atom_site_label
_atom_site_type_symbol
_atom_site_fract_x
_atom_site_fract_y
_atom_site_fract_z
_atom_site_occupancy
Sr1 Sr 0.0830 0.1257 0.0000 1
Sr2 Sr 0.4170 0.1257 0.5000 1
Sr3 Sr 0.5830 0.8743 0.0000 1
Sr4 Sr 0.9170 0.8743 0.5000 1
Dy1 Dy 0.0856 0.6155 0.9762 1
Dy2 Dy 0.4144 0.6155 0.4762 1
Dy3 Dy 0.5856 0.3845 0.9762 1
Dy4 Dy 0.9144 0.3845 0.4762 1
N1 N 0.0513 0.1594 0.5466 1
N2 N 0.4487 0.1594 0.0466 1
N3 N 0.5513 0.8406 0.5466 1
N4 N 0.9487 0.8406 0.0466 1
O1 O 0.0995 0.5983 0.5865 1
O2 O 0.4005 0.5983 0.0865 1
O3 O 0.5995 0.4017 0.5865 1
O4 O 0.9005 0.4017 0.0865 1
```


## two
The following is a DFT calculation (PBE) of a geometry-optimized SrDyNO structure.

```
data_SrDyNO
_cell_length_a 4.1541
_cell_length_b 4.1541
_cell_length_c 8.2837
_cell_angle_alpha 90.00
_cell_angle_beta 90.00
_cell_angle_gamma 90.00
_symmetry_space_group_name_H-M 'P 1'
_symmetry_Int_Tables_number 1
loop_
_symmetry_equiv_pos_as_xyz
'x,y,z'
loop_
_atom_site_label
_atom_site_type_symbol
_atom_site_fract_x
_atom_site_fract_y
_atom_site_fract_z
_atom_site_occupancy
Sr1 Sr 0.2500 0.7500 0.0000 1
Sr2 Sr 0.7500 0.2500 0.0000 1
Dy1 Dy 0.2500 0.2500 0.3913 1
Dy2 Dy 0.7500 0.7500 0.6087 1
N1 N 0.2500 0.2500 0.8309 1
N2 N 0.7500 0.7500 0.1691 1
O1 O 0.2500 0.7500 0.5000 1
O2 O 0.7500 0.2500 0.5000 1
```


## three
The following is a DFT calculation (PBE) of a geometry-optimized SrDyNO structure.

```
data_SrDyNO
_cell_length_a 4.9675
_cell_length_b 4.9675
_cell_length_c 5.1119
_cell_angle_alpha 90.00
_cell_angle_beta 90.00
_cell_angle_gamma 90.00
_symmetry_space_group_name_H-M 'P 1'
_symmetry_Int_Tables_number 1
loop_
_symmetry_equiv_pos_as_xyz
'x,y,z'
loop_
_atom_site_label
_atom_site_type_symbol
_atom_site_fract_x
_atom_site_fract_y
_atom_site_fract_z
_atom_site_occupancy
Sr1 Sr 0.2500 0.2500 0.0006 1
Sr2 Sr 0.7500 0.7500 0.9994 1
Dy1 Dy 0.2500 0.7500 0.5000 1
Dy2 Dy 0.7500 0.2500 0.5000 1
N1 N 0.2500 0.2500 0.5013 1
N2 N 0.7500 0.7500 0.4987 1
O1 O 0.2500 0.7500 0.0000 1
O2 O 0.7500 0.2500 0.0000 1
```


## four
The following is a DFT calculation (PBE) of a geometry-optimized SrDyNO structure.

```
data_SrDyNO
_cell_length_a 4.0989
_cell_length_b 7.1461
_cell_length_c 5.1060
_cell_angle_alpha 90.00
_cell_angle_beta 90.00
_cell_angle_gamma 90.00
_symmetry_space_group_name_H-M 'P 1'
_symmetry_Int_Tables_number 1
loop_
_symmetry_equiv_pos_as_xyz
'x,y,z'
loop_
_atom_site_label
_atom_site_type_symbol
_atom_site_fract_x
_atom_site_fract_y
_atom_site_fract_z
_atom_site_occupancy
Sr1 Sr 0.0000 0.1665 0.0000 1
Sr2 Sr 0.0000 0.8335 0.5000 1
Dy1 Dy 0.5000 0.3440 0.5088 1
Dy2 Dy 0.5000 0.6560 0.0088 1
N1 N 0.5000 0.3514 0.9672 1
N2 N 0.5000 0.6486 0.4672 1
O1 O 0.0000 0.1950 0.4913 1
O2 O 0.0000 0.8050 0.9913 1
```


Most stable: three (next structure +1.6 kJ/mol of atoms)